No. 1
Entry from Alexandria via LeMat-Bulk: a crystal of Li2FeI relaxed with PBEsol (SCAN).

Results
- E: -14.601 eV/atom
- Volume: 74.1 Å³/f.u.
- Uncorrected formation energy: 0.311 eV per atom
- SG: Fm-3m (225)
- Total moment: 0.74 μB per atom

The structure in POSCAR format:
```
Li2FeI
1.0
4.714 0.000 0.000
2.357 4.082 0.000
2.357 1.361 3.849
Li Fe I
2 1 1
Direct
0.250 0.250 0.250
0.750 0.750 0.750
0.000 0.000 0.000
0.500 0.500 0.500
```

No. 2
Entry from Alexandria via LeMat-Bulk: a crystal of RbLi2FeI relaxed with PBEsol (SCAN).

Results
- E: -15.145 eV/atom
- Volume: 227.4 Å³/f.u.
- Uncorrected formation energy: 0.933 eV per atom
- SG: P4/mmm (123)
- Total moment: 0.71 μB per atom

The structure in POSCAR format:
```
RbLi2FeI
1.0
-3.212 2.644 4.626
-3.355 -5.002 0.529
3.944 -2.221 4.008
I Rb Li Fe
1 1 2 1
Direct
0.500 0.000 0.000
0.000 0.000 0.000
0.000 0.000 0.500
0.000 0.500 0.000
0.500 0.500 0.500
```